# 1
A relaxed structure of TbPrY. Source: the Alexandria database, functional GGA-PBE.

Summary:
As for the formation energy from the elements: 0.06 eV/f.u. Its space group is I4mm, No. 107. The value obtained for the energy relative to the lowest polymorph listed for this composition is 4.2 meV/atom. For the theoretical density, the calculation gives 6.422 g cm⁻³.

Cell: 3.6207 3.6207 8.0832 Å, 102.94 102.94 90.00°
Fractional positions:
Tb 0.6653 0.6653 0.3306
Pr 0.3328 0.3328 0.6655
Y 0.0019 0.0019 0.0038

=====

# 2
A relaxed structure of Tb7PrY12. Source: the Alexandria database, functional GGA-PBE.

Summary:
As for the formation energy from the elements: 13.51 eV/f.u. Its space group is Im-3m, No. 229. The value obtained for the energy relative to the lowest polymorph listed for this composition is 392.6 meV/atom. For the theoretical density, the calculation gives 5.330 g cm⁻³.

Cell: 9.7923 9.7923 9.7923 Å, 109.47 109.47 109.47°
Fractional positions:
Y 0.7466 0.2530 0.9996
Y 0.2530 0.5064 0.2534
Y 0.9996 0.7466 0.2530
Y 0.2530 0.9996 0.7466
Y 0.2534 0.7470 0.0004
Y 0.2534 0.2530 0.5064
Y 0.7470 0.0004 0.2534
Y 0.4936 0.7466 0.7470
Y 0.7466 0.7470 0.4936
Y 0.7470 0.4936 0.7466
Y 0.5064 0.2534 0.2530
Y 0.0004 0.2534 0.7470
Pr 0.0000 0.0000 0.0000
Tb 0.5000 0.0000 0.0000
Tb 0.0000 0.0000 0.5000
Tb 0.5000 0.0000 0.5000
Tb 0.5000 0.5000 0.0000
Tb 0.5000 0.5000 0.5000
Tb 0.0000 0.5000 0.5000
Tb 0.0000 0.5000 0.0000

=====

# 3
A relaxed structure of Tb2Pr8Y3. Source: the Alexandria database, functional GGA-PBE.

Summary:
As for the formation energy from the elements: 2.53 eV/f.u. Its space group is P2/m, No. 10. The value obtained for the energy relative to the lowest polymorph listed for this composition is 94.2 meV/atom. For the theoretical density, the calculation gives 6.115 g cm⁻³.

Cell: 5.7949 7.7727 11.0280 Å, 110.64 90.00 90.00°
Fractional positions:
Pr 0.5000 0.8103 0.2118
Pr 0.0000 0.1320 0.2642
Pr 0.5000 0.4016 0.2118
Pr 0.0000 0.6736 0.3477
Pr 0.0000 0.3264 0.6523
Pr 0.5000 0.1897 0.7882
Pr 0.0000 0.8680 0.7358
Pr 0.5000 0.5984 0.7882
Y 0.0000 0.2842 0.0000
Y 0.5000 0.0000 0.0000
Y 0.0000 0.7158 0.0000
Tb 0.5000 0.2405 0.4801
Tb 0.5000 0.7595 0.5199

=====

> What is the formation energy from the elements in the first record?

0.06 eV/f.u.